AcZn2N2 PBE relaxed; density of states at the Fermi level = 0.44 states/eV per atom; energy relative to the elements, uncorrected = -274 meV/atom; DFT total energy = -49.4 eV for the cell shown
1.0
-3.885 2.850 -3.157
0.429 -3.991 -4.131
-2.068 -2.140 5.869
Ac Zn N
2 4 4
Direct
0.000 0.000 0.000
0.250 0.750 0.500
0.625 0.875 0.250
0.125 0.375 0.750
0.625 0.375 0.250
0.625 0.375 0.750
0.997 0.497 0.995
0.747 0.747 0.495
0.503 0.003 0.005
0.253 0.253 0.505